Record 1
The following is a DFT calculation (PBE) of crystalline Tm2Te3H at its relaxed geometry.

```
data_Tm2Te3H
_cell_length_a 11.4963
_cell_length_b 3.9962
_cell_length_c 12.7018
_cell_angle_alpha 90.00
_cell_angle_beta 90.00
_cell_angle_gamma 90.00
_symmetry_space_group_name_H-M 'P 1'
_symmetry_Int_Tables_number 1
loop_
_symmetry_equiv_pos_as_xyz
'x,y,z'
loop_
_atom_site_label
_atom_site_fract_x
_atom_site_fract_y
_atom_site_fract_z
_atom_site_occupancy
Tm1 0.0620 0.2500 0.1762 1
Tm2 0.2033 0.2500 0.5233 1
Tm3 0.2967 0.7500 0.0233 1
Tm4 0.4380 0.7500 0.6762 1
Tm5 0.5620 0.2500 0.3238 1
Tm6 0.7033 0.2500 0.9767 1
Tm7 0.7967 0.7500 0.4767 1
Tm8 0.9380 0.7500 0.8238 1
Te1 0.0711 0.7500 0.3766 1
Te2 0.1128 0.2500 0.9376 1
Te3 0.1745 0.7500 0.6980 1
Te4 0.3255 0.2500 0.1980 1
Te5 0.3872 0.7500 0.4376 1
Te6 0.4289 0.2500 0.8766 1
Te7 0.5711 0.7500 0.1234 1
Te8 0.6128 0.2500 0.5624 1
Te9 0.6745 0.7500 0.8020 1
Te10 0.8255 0.2500 0.3020 1
Te11 0.8872 0.7500 0.0624 1
Te12 0.9289 0.2500 0.6234 1
H1 0.1376 0.7500 0.1257 1
H2 0.3624 0.2500 0.6257 1
H3 0.6376 0.7500 0.3743 1
H4 0.8624 0.2500 0.8743 1
```

**Symmetry**: Pnma
**ΔE to the lowest computed polymorph**: 0 meV/atom
**Density of states at the Fermi level**: 9.6 states/eV/cell

=====

Record 2
The following is a DFT calculation (PBE) of crystalline Tm3Te2H2 at its relaxed geometry.

```
data_Tm3Te2H2
_cell_length_a 3.9667
_cell_length_b 4.4138
_cell_length_c 8.7187
_cell_angle_alpha 104.66
_cell_angle_beta 103.13
_cell_angle_gamma 90.01
_symmetry_space_group_name_H-M 'P 1'
_symmetry_Int_Tables_number 1
loop_
_symmetry_equiv_pos_as_xyz
'x,y,z'
loop_
_atom_site_label
_atom_site_fract_x
_atom_site_fract_y
_atom_site_fract_z
_atom_site_occupancy
Tm1 0.0000 0.0000 0.0000 1
Tm2 0.3833 0.3828 0.7651 1
Tm3 0.6167 0.6172 0.2349 1
Te1 0.1785 0.1790 0.3587 1
Te2 0.8215 0.8210 0.6413 1
H1 0.4999 0.2472 0.0000 1
H2 0.5001 0.7528 0.0000 1
```

**Symmetry**: P-1
**Density of states at the Fermi level**: 3.6 states/eV/cell
**VASP energy**: -32.817 eV per cell

=====

Record 3
The following is a DFT calculation (PBE) of crystalline Tm6Te3H at its relaxed geometry.

```
data_Tm6Te3H
_cell_length_a 9.3399
_cell_length_b 9.3399
_cell_length_c 6.1542
_cell_angle_alpha 90.00
_cell_angle_beta 90.00
_cell_angle_gamma 104.08
_symmetry_space_group_name_H-M 'P 1'
_symmetry_Int_Tables_number 1
loop_
_symmetry_equiv_pos_as_xyz
'x,y,z'
loop_
_atom_site_label
_atom_site_fract_x
_atom_site_fract_y
_atom_site_fract_z
_atom_site_occupancy
Tm1 0.0642 0.9358 0.5000 1
Tm2 0.0978 0.5620 0.4140 1
Tm3 0.2290 0.7710 0.8877 1
Tm4 0.2600 0.4104 0.0104 1
Tm5 0.4104 0.2600 0.5104 1
Tm6 0.4380 0.9022 0.4140 1
Tm7 0.5620 0.0978 0.9140 1
Tm8 0.5896 0.7400 0.0104 1
Tm9 0.7400 0.5896 0.5104 1
Tm10 0.7710 0.2290 0.3877 1
Tm11 0.9022 0.4380 0.9140 1
Tm12 0.9358 0.0642 0.0000 1
Te1 0.0809 0.2567 0.6213 1
Te2 0.2567 0.0809 0.1213 1
Te3 0.4135 0.5865 0.6098 1
Te4 0.5865 0.4135 0.1098 1
Te5 0.7433 0.9191 0.6213 1
Te6 0.9191 0.7433 0.1213 1
H1 0.2091 0.7909 0.5201 1
H2 0.7909 0.2091 0.0201 1
```

**Symmetry**: Cmc2_1
**Density of states at the Fermi level**: 16.8 states/eV/cell
**VASP energy**: -93.688 eV per cell

=====

Record 4
The following is a DFT calculation (PBE) of crystalline Tm4Te3H2 at its relaxed geometry.

```
data_Tm4Te3H2
_cell_length_a 7.5938
_cell_length_b 7.5938
_cell_length_c 7.4671
_cell_angle_alpha 95.90
_cell_angle_beta 95.90
_cell_angle_gamma 83.97
_symmetry_space_group_name_H-M 'P 1'
_symmetry_Int_Tables_number 1
loop_
_symmetry_equiv_pos_as_xyz
'x,y,z'
loop_
_atom_site_label
_atom_site_fract_x
_atom_site_fract_y
_atom_site_fract_z
_atom_site_occupancy
Tm1 0.0797 0.7133 0.5337 1
Tm2 0.2700 0.4437 0.8541 1
Tm3 0.2867 0.9203 0.9663 1
Tm4 0.4437 0.2700 0.3541 1
Tm5 0.5563 0.7300 0.6459 1
Tm6 0.7133 0.0797 0.0337 1
Tm7 0.7300 0.5563 0.1459 1
Tm8 0.9203 0.2867 0.4663 1
Te1 0.0691 0.2544 0.1037 1
Te2 0.2544 0.0691 0.6037 1
Te3 0.3526 0.6474 0.2500 1
Te4 0.6474 0.3526 0.7500 1
Te5 0.7456 0.9309 0.3963 1
Te6 0.9309 0.7456 0.8963 1
H1 0.0760 0.4643 0.6345 1
H2 0.4643 0.0760 0.1345 1
H3 0.5357 0.9240 0.8655 1
H4 0.9240 0.5357 0.3655 1
```

**Symmetry**: C2/c
**Density of states at the Fermi level**: 7.9 states/eV/cell
**VASP energy**: -84.962 eV per cell

=====

Record 5
The following is a DFT calculation (PBE) of crystalline Tm2TeH4 at its relaxed geometry.

```
data_Tm2TeH4
_cell_length_a 7.7335
_cell_length_b 7.7335
_cell_length_c 7.7335
_cell_angle_alpha 28.20
_cell_angle_beta 28.20
_cell_angle_gamma 28.20
_symmetry_space_group_name_H-M 'P 1'
_symmetry_Int_Tables_number 1
loop_
_symmetry_equiv_pos_as_xyz
'x,y,z'
loop_
_atom_site_label
_atom_site_fract_x
_atom_site_fract_y
_atom_site_fract_z
_atom_site_occupancy
Tm1 0.2358 0.2358 0.2358 1
Tm2 0.7642 0.7642 0.7642 1
Te1 0.0000 0.0000 0.0000 1
H1 0.1381 0.1381 0.1381 1
H2 0.4356 0.4356 0.4356 1
H3 0.5644 0.5644 0.5644 1
H4 0.8619 0.8619 0.8619 1
```

**Symmetry**: R-3m
**VASP energy**: -31.160 eV per cell

=====

Record 6
The following is a DFT calculation (PBE) of crystalline Tm4Te5H2 at its relaxed geometry.

```
data_Tm4Te5H2
_cell_length_a 10.5641
_cell_length_b 10.5641
_cell_length_c 8.4114
_cell_angle_alpha 103.44
_cell_angle_beta 103.44
_cell_angle_gamma 22.66
_symmetry_space_group_name_H-M 'P 1'
_symmetry_Int_Tables_number 1
loop_
_symmetry_equiv_pos_as_xyz
'x,y,z'
loop_
_atom_site_label
_atom_site_fract_x
_atom_site_fract_y
_atom_site_fract_z
_atom_site_occupancy
Tm1 0.0419 0.0419 0.2697 1
Tm2 0.3308 0.3308 0.4763 1
Tm3 0.6692 0.6692 0.5237 1
Tm4 0.9581 0.9581 0.7303 1
Te1 0.0945 0.0945 0.6590 1
Te2 0.1900 0.1900 0.2737 1
Te3 0.5000 0.5000 0.0000 1
Te4 0.8100 0.8100 0.7263 1
Te5 0.9055 0.9055 0.3410 1
H1 0.4253 0.4253 0.6480 1
H2 0.5747 0.5747 0.3520 1
```

**Symmetry**: C2/m
**VASP energy**: -52.750 eV per cell